(one)
This record from Alexandria describes crystalline LiLaCuP2 at its relaxed geometry. The functional is PBE-GGA.

Cell: 4.019 4.019 10.589 Å, 90.00 90.00 90.00°
Space group I-4m2 (No. 119)
Symmetry-distinct sites (fractional):
Li1 0.000 0.000 0.000 [2 per cell]
La1 0.000 0.500 0.750 [2 per cell]
Cu1 0.000 0.000 0.500 [2 per cell]
P1 0.000 0.500 0.128 [4 per cell]

Computed properties:
Magnetic moment = 0.00 μB per formula unit

---

(two)
This record from Alexandria describes crystalline LiLaCuP2 at its relaxed geometry. The functional is PBE-GGA.

Cell: 4.671 4.671 4.987 Å, 90.00 90.00 90.00°
Space group P4/mmm (No. 123)
Symmetry-distinct sites (fractional):
Li1 0.000 0.000 0.000 [1 per cell]
La1 0.500 0.500 0.000 [1 per cell]
Cu1 0.500 0.500 0.500 [1 per cell]
P1 0.000 0.500 0.500 [2 per cell]

Computed properties:
Magnetic moment = 0.00 μB per formula unit

---

It comes down to (one), which is 948 meV per atom more stable than the next structure.